#1
# Na2Ag2Sn | Alexandria | GGA-PBE | relaxed
# Volume   125.33 Å³/cell
# Crystal system   orthorhombic
data_Na2Ag2Sn
_symmetry_space_group_name_H-M 'P 1'
_symmetry_Int_Tables_number 1
_cell_length_a 4.673
_cell_length_b 5.866
_cell_length_c 5.913
_cell_angle_alpha 119.74
_cell_angle_beta 113.27
_cell_angle_gamma 90.00
loop_
_symmetry_equiv_pos_as_xyz
'x,y,z'
loop_
_atom_site_label
_atom_site_fract_x
_atom_site_fract_y
_atom_site_fract_z
Na1 0.805 0.305 0.610
Ag1 0.500 0.738 0.000
Na2 0.195 0.695 0.390
Ag2 0.500 0.262 0.000
Sn1 0.000 0.000 0.000

#2
# Na2Ag2Sn | Alexandria | GGA-PBE | relaxed
# Volume   123.12 Å³/cell
# Crystal system   tetragonal
data_Na2Ag2Sn
_symmetry_space_group_name_H-M 'P 1'
_symmetry_Int_Tables_number 1
_cell_length_a 4.197
_cell_length_b 4.197
_cell_length_c 7.593
_cell_angle_alpha 73.96
_cell_angle_beta 73.96
_cell_angle_gamma 90.00
loop_
_symmetry_equiv_pos_as_xyz
'x,y,z'
loop_
_atom_site_label
_atom_site_fract_x
_atom_site_fract_y
_atom_site_fract_z
Ag1 0.596 0.596 0.808
Ag2 0.404 0.404 0.192
Na1 0.750 0.250 0.500
Na2 0.250 0.750 0.500
Sn1 0.000 0.000 0.000

Top of the stability list: #1, leading by 25.7 kJ/mol of atoms.

#1
# Na2Ag2Sn | Alexandria | GGA-PBE | relaxed
# Volume   233.21 Å³/cell
# Crystal system   tetragonal
data_Na2Ag2Sn
_symmetry_space_group_name_H-M 'P 1'
_symmetry_Int_Tables_number 1
_cell_length_a 8.538
_cell_length_b 8.538
_cell_length_c 3.199
_cell_angle_alpha 90.00
_cell_angle_beta 90.00
_cell_angle_gamma 90.00
loop_
_symmetry_equiv_pos_as_xyz
'x,y,z'
loop_
_atom_site_label
_atom_site_fract_x
_atom_site_fract_y
_atom_site_fract_z
Sn1 0.000 0.000 0.000
Na1 0.132 0.368 0.000
Na2 0.368 0.868 0.000
Na3 0.632 0.132 0.000
Na4 0.868 0.632 0.000
Ag1 0.166 0.666 0.500
Sn2 0.500 0.500 0.000
Ag2 0.834 0.334 0.500
Ag3 0.666 0.834 0.500
Ag4 0.334 0.166 0.500

#2
# Na2Ag2Sn | Alexandria | GGA-PBE | relaxed
# Volume   228.99 Å³/cell
# Crystal system   monoclinic
data_Na2Ag2Sn
_symmetry_space_group_name_H-M 'P 1'
_symmetry_Int_Tables_number 1
_cell_length_a 5.013
_cell_length_b 5.747
_cell_length_c 9.885
_cell_angle_alpha 63.64
_cell_angle_beta 75.31
_cell_angle_gamma 64.14
loop_
_symmetry_equiv_pos_as_xyz
'x,y,z'
loop_
_atom_site_label
_atom_site_fract_x
_atom_site_fract_y
_atom_site_fract_z
Na1 0.557 0.241 0.644
Na2 0.334 0.288 0.043
Sn1 0.755 0.193 0.297
Na3 0.443 0.759 0.356
Ag1 0.861 0.694 0.584
Na4 0.666 0.712 0.957
Ag2 0.139 0.306 0.416
Ag3 0.020 0.810 0.150
Sn2 0.245 0.807 0.703
Ag4 0.980 0.190 0.850

#3
# Na2Ag2Sn | Alexandria | GGA-PBE | relaxed
# Volume   244.11 Å³/cell
# Crystal system   tetragonal
data_Na2Ag2Sn
_symmetry_space_group_name_H-M 'P 1'
_symmetry_Int_Tables_number 1
_cell_length_a 7.345
_cell_length_b 7.345
_cell_length_c 4.525
_cell_angle_alpha 90.00
_cell_angle_beta 90.00
_cell_angle_gamma 90.00
loop_
_symmetry_equiv_pos_as_xyz
'x,y,z'
loop_
_atom_site_label
_atom_site_fract_x
_atom_site_fract_y
_atom_site_fract_z
Na1 0.331 0.169 0.500
Ag1 0.363 0.863 0.000
Na2 0.669 0.831 0.500
Na3 0.169 0.669 0.500
Na4 0.831 0.331 0.500
Sn1 0.000 0.000 0.000
Ag2 0.637 0.137 0.000
Ag3 0.137 0.363 0.000
Sn2 0.500 0.500 0.000
Ag4 0.863 0.637 0.000

Top of the stability list: #2, leading by 2.1 kJ/mol of atoms.

#1
# NaAg3Sn | Alexandria | GGA-PBE | relaxed
# Volume   147.56 Å³/cell
# Crystal system   cubic
data_NaAg3Sn
_symmetry_space_group_name_H-M 'P 1'
_symmetry_Int_Tables_number 1
_cell_length_a 5.284
_cell_length_b 5.284
_cell_length_c 5.284
_cell_angle_alpha 90.00
_cell_angle_beta 90.00
_cell_angle_gamma 90.00
loop_
_symmetry_equiv_pos_as_xyz
'x,y,z'
loop_
_atom_site_label
_atom_site_fract_x
_atom_site_fract_y
_atom_site_fract_z
Na1 0.500 0.500 0.500
Sn1 0.000 0.000 0.000
Ag1 0.000 0.000 0.500
Ag2 0.000 0.500 0.000
Ag3 0.500 0.000 0.000

#2
# NaAg3Sn | Alexandria | GGA-PBE | relaxed
# Volume   123.83 Å³/cell
# Crystal system   cubic
data_NaAg3Sn
_symmetry_space_group_name_H-M 'P 1'
_symmetry_Int_Tables_number 1
_cell_length_a 4.984
_cell_length_b 4.984
_cell_length_c 4.984
_cell_angle_alpha 90.00
_cell_angle_beta 90.00
_cell_angle_gamma 90.00
loop_
_symmetry_equiv_pos_as_xyz
'x,y,z'
loop_
_atom_site_label
_atom_site_fract_x
_atom_site_fract_y
_atom_site_fract_z
Ag1 0.000 0.500 0.000
Na1 0.000 0.000 0.000
Ag2 0.000 0.000 0.500
Sn1 0.500 0.500 0.500
Ag3 0.500 0.000 0.000

#3
# NaAg3Sn | Alexandria | GGA-PBE | relaxed
# Volume   412.87 Å³/cell
# Crystal system   monoclinic
data_NaAg3Sn
_symmetry_space_group_name_H-M 'P 1'
_symmetry_Int_Tables_number 1
_cell_length_a 6.111
_cell_length_b 7.623
_cell_length_c 9.280
_cell_angle_alpha 107.26
_cell_angle_beta 90.00
_cell_angle_gamma 90.00
loop_
_symmetry_equiv_pos_as_xyz
'x,y,z'
loop_
_atom_site_label
_atom_site_fract_x
_atom_site_fract_y
_atom_site_fract_z
Na1 0.509 0.680 0.795
Sn1 0.745 0.102 0.901
Ag1 0.003 0.734 0.810
Na2 0.991 0.680 0.295
Ag2 0.247 0.508 0.002
Sn2 0.255 0.898 0.099
Ag3 0.497 0.734 0.310
Na3 0.009 0.320 0.705
Na4 0.491 0.320 0.205
Ag4 0.253 0.122 0.904
Ag5 0.247 0.122 0.404
Ag6 0.503 0.266 0.690
Ag7 0.253 0.508 0.502
Sn3 0.245 0.898 0.599
Ag8 0.997 0.266 0.190
Ag9 0.753 0.492 0.998
Ag10 0.747 0.878 0.096
Ag11 0.747 0.492 0.498
Sn4 0.755 0.102 0.401
Ag12 0.753 0.878 0.596

#4
# NaAg3Sn | Alexandria | GGA-PBE | relaxed
# Volume   214.96 Å³/cell
# Crystal system   trigonal
data_NaAg3Sn
_symmetry_space_group_name_H-M 'P 1'
_symmetry_Int_Tables_number 1
_cell_length_a 5.701
_cell_length_b 5.701
_cell_length_c 8.316
_cell_angle_alpha 69.96
_cell_angle_beta 69.96
_cell_angle_gamma 60.00
loop_
_symmetry_equiv_pos_as_xyz
'x,y,z'
loop_
_atom_site_label
_atom_site_fract_x
_atom_site_fract_y
_atom_site_fract_z
Ag1 0.885 0.388 0.842
Ag2 0.388 0.885 0.842
Na1 0.166 0.166 0.501
Ag3 0.612 0.115 0.158
Ag4 0.885 0.885 0.842
Na2 0.834 0.834 0.499
Sn1 0.425 0.425 0.725
Ag5 0.115 0.115 0.158
Sn2 0.575 0.575 0.275
Ag6 0.115 0.612 0.158

Top of the stability list: #4, leading by 3.9 kJ/mol of atoms.